This record from Alexandria via LeMat-Bulk describes a relaxed Pr3RuI crystal. The functional is PBE.

```
10
Lattice="3.983 0.000 0.000 0.000 9.662 0.000 0.000 0.000 8.813" Properties=species:S:1:pos:R:3 pbc="T T T"
Pr 0.996 0.718 1.333
Pr 0.996 2.415 6.702
Pr 0.996 4.113 1.333
Pr 2.987 5.549 7.480
Pr 2.987 7.246 2.111
Pr 2.987 8.943 7.480
Ru 0.996 7.246 0.209
Ru 2.987 2.415 8.604
I 0.996 7.246 4.987
I 2.987 2.415 3.826
```

Final energy   -5.48 eV/atom
SG   No. 59
Formation energy (no corrections)   -449 meV per atom
Energy above the most stable polymorph in this dataset   0.0 kJ/mol of formula units
D(E_F)   2.425 states/eV/f.u.
Calculated density   6.37 g/cm3